# Nb2NiHg2Se6 PBE-GGA relaxed
data_Nb2NiHg2Se6
_chemical_formula_sum 'Nb4 Ni2 Hg4 Se12'
_space_group_name_H-M_alt 'C 1 2/m 1'
_space_group_IT_number 12
_space_group_name_Hall '-C 2y'
_cell_length_a 6.105
_cell_length_b 10.592
_cell_length_c 9.618
_cell_angle_alpha 90.00
_cell_angle_beta 106.51
_cell_angle_gamma 90.00
loop_
_atom_site_label
_atom_site_fract_x
_atom_site_fract_y
_atom_site_fract_z
Nb1 0.000 0.165 0.000
Ni1 0.000 0.500 0.000
Hg1 0.000 0.219 0.500
Se1 0.082 0.342 0.831
Se2 0.111 0.000 0.830
# Total moment   0.00 μB/cell
# E   -52.32 eV per formula unit
# Crystal system   monoclinic